The following is a GGA-PBE calculation of a relaxed Th3Ga4Rh4 crystal, from Alexandria via LeMat-Bulk.

Energy of formation (eV/atom): -0.874
ρ (Mg/m³): 10.7
Density of states at the Fermi level (states/eV/f.u.): 6.14
Energy (eV per atom): -6.672

a b c (Å): 4.0635 7.4956 14.1891
angles (deg): 90.00 90.00 90.00
Closest atoms and distances in Å follow each position.
Space group Immm (No. 71)
One atom of each set of equivalent atoms:
Th (0.0000, 0.0000, 0.0000)  6 Rh 2.99-3.10
Th (0.0000, 0.5000, 0.1256)  6 Rh 3.00-3.12, 6 Ga 3.13-3.19
Ga (0.0000, 0.3041, 0.3248)  4 Rh 2.58-2.73
Rh (0.0000, 0.0000, 0.2187)  6 Ga 2.58-2.73
Rh (0.0000, 0.2080, 0.5000)  2 Ga 2.59


The following is a GGA-PBE calculation of a relaxed ThGa3Rh2 crystal, from Alexandria via LeMat-Bulk.

Energy of formation (eV/atom): -0.735
ρ (Mg/m³): 9.9
Density of states at the Fermi level (states/eV/f.u.): 3.68
Energy (eV per atom): -5.935

a b c (Å): 16.8828 4.1244 9.7121
angles (deg): 90.00 104.68 90.00
Closest atoms and distances in Å follow each position.
Space group C2/m (No. 12)
One atom of each set of equivalent atoms:
Th (0.0000, 0.0000, 0.0000)  4 Rh 2.97
Th (0.1515, 0.0000, 0.6960)  4 Rh 3.10-3.41, 9 Ga 3.14-3.46
Ga (0.0000, 0.5000, 0.5000)  4 Rh 2.52-2.73, 4 Ga 2.71
Ga (0.0498, 0.0000, 0.3609)  4 Rh 2.54-2.59, 3 Ga 2.71-2.82
Ga (0.1470, 0.5000, 0.1972)  4 Rh 2.52-2.64, 3 Ga 2.52-2.77
Ga (0.1491, 0.5000, 0.9383)  4 Rh 2.48-2.59, 1 Ga 2.52
Ga (0.2186, 0.0000, 0.3753)  4 Rh 2.53-2.73, 3 Ga 2.77-2.82
Rh (0.0059, 0.5000, 0.7834)  5 Ga 2.50-2.73
Rh (0.1406, 0.5000, 0.4538)  7 Ga 2.52-2.66
Rh (0.2091, 0.0000, 0.0907)  6 Ga 2.48-2.73


The following is a GGA-PBE calculation of a relaxed Th2Ga5Rh5 crystal, from Alexandria via LeMat-Bulk.

Energy of formation (eV/atom): -0.742
ρ (Mg/m³): 10.3
Density of states at the Fermi level (states/eV/f.u.): 8.92
Energy (eV per atom): -6.303

a b c (Å): 4.2637 5.4645 9.1947
angles (deg): 90.00 90.00 90.00
Closest atoms and distances in Å follow each position.
Space group Pmmm (No. 47)
One atom of each set of equivalent atoms:
Th (0.0000, 0.0000, 0.0000)  6 Rh 3.01-3.29, 8 Ga 3.33
Th (0.0000, 0.5000, 0.5000)  2 Rh 2.76
Ga (0.5000, 0.0000, 0.5000)  4 Rh 2.66, 4 Ga 2.77
Ga (0.5000, 0.2469, 0.2368)  5 Rh 2.56-2.66, 3 Ga 2.70-2.77
Rh (0.0000, 0.0000, 0.3279)  6 Ga 2.66
Rh (0.0000, 0.5000, 0.1999)  4 Ga 2.56, 1 Th 2.76, 2 Rh 2.81
Rh (0.5000, 0.5000, 0.0000)  4 Ga 2.58, 4 Rh 2.81